No. 1
First-principles (PBE) data for a relaxed SiPdRu2 crystal, as listed in Alexandria via LeMat-Bulk.

Values from the calculation:
Raw formation energy ... 1.4 eV/f.u.
Calculated total energy ... -111.15 eV per cell
Space-group type ... I-42d
Fermi-level density of states ... 4.608 states/eV/f.u.

Unit cell a=3.649 b=3.649 c=18.522 alpha=90.00 beta=90.00 gamma=90.00
Positions (direct):
1 Si 0.000 0.000 0.000
2 Si 0.000 0.500 0.250
3 Si 0.500 0.000 0.750
4 Si 0.500 0.500 0.500
5 Pd 0.000 0.000 0.500
6 Pd 0.000 0.500 0.750
7 Pd 0.500 0.000 0.250
8 Pd 0.500 0.500 0.000
9 Ru 0.213 0.250 0.125
10 Ru 0.250 0.713 0.375
11 Ru 0.250 0.787 0.875
12 Ru 0.287 0.250 0.625
13 Ru 0.713 0.750 0.625
14 Ru 0.750 0.213 0.875
15 Ru 0.750 0.287 0.375
16 Ru 0.787 0.750 0.125

=====

No. 2
First-principles (PBE) data for a relaxed FeRu4Cl crystal, as listed in Alexandria via LeMat-Bulk.

Values from the calculation:
Raw formation energy ... 6.7 eV/f.u.
Calculated total energy ... -40.73 eV per cell
Space-group type ... F-43m
Fermi-level density of states ... 13.422 states/eV/f.u.

Unit cell a=5.157 b=5.157 c=5.157 alpha=60.00 beta=60.00 gamma=60.00
Positions (direct):
1 Fe 0.000 0.000 0.000
2 Ru 0.375 0.375 0.375
3 Ru 0.375 0.375 0.875
4 Ru 0.375 0.875 0.375
5 Ru 0.875 0.375 0.375
6 Cl 0.750 0.750 0.750

=====

No. 3
First-principles (PBE) data for a relaxed BaCSCl2 crystal, as listed in Alexandria via LeMat-Bulk.

Values from the calculation:
Raw formation energy ... -1.6 eV/f.u.
Calculated total energy ... -20.53 eV per cell
Space-group type ... P4/mmm
Fermi-level density of states ... 1.084 states/eV/f.u.

Unit cell a=5.474 b=5.474 c=3.772 alpha=90.00 beta=90.00 gamma=90.00
Positions (direct):
1 Ba 0.000 0.000 0.000
2 C 0.500 0.500 0.500
3 S 0.500 0.500 0.000
4 Cl 0.000 0.500 0.500
5 Cl 0.500 0.000 0.500